Record 1
A plane-wave DFT calculation with PBE was carried out for a relaxed PmTe crystal.

Cell: 6.311 6.311 6.311 Å, 90.00 90.00 90.00°
Element x y z (fractional)
1 Pm 0.000 0.000 0.000
2 Pm 0.000 0.500 0.500
3 Pm 0.500 0.000 0.500
4 Pm 0.500 0.500 0.000
5 Te 0.000 0.000 0.500
6 Te 0.000 0.500 0.000
7 Te 0.500 0.000 0.000
8 Te 0.500 0.500 0.500

## Properties
Total magnetic moment in μB/cell: 0.0
Energy above the most stable polymorph in this dataset in eV/atom: 0.000
Raw total energy in eV/cell: -42.83


Record 2
A plane-wave DFT calculation with PBE was carried out for a relaxed PmTe crystal.

Cell: 4.437 4.437 11.062 Å, 90.00 90.00 120.00°
Element x y z (fractional)
1 Pm 0.000 0.000 0.000
2 Pm 0.333 0.667 0.667
3 Pm 0.667 0.333 0.333
4 Te 0.000 0.000 0.500
5 Te 0.333 0.667 0.167
6 Te 0.667 0.333 0.833

## Properties
Total magnetic moment in μB/cell: 0.0
Energy above the most stable polymorph in this dataset in eV/atom: 0.000
Raw total energy in eV/cell: -32.12


Record 3
A plane-wave DFT calculation with PBE was carried out for a relaxed PmTe crystal.

Cell: 4.178 4.178 4.191 Å, 90.00 90.00 120.00°
Element x y z (fractional)
1 Pm 0.000 0.000 0.000
2 Te 0.667 0.333 0.500

## Properties
Total magnetic moment in μB/cell: 0.7
Energy above the most stable polymorph in this dataset in eV/atom: 0.027
Raw total energy in eV/cell: -10.65


Record 4
A plane-wave DFT calculation with PBE was carried out for a relaxed Pm2Te crystal.

Cell: 6.397 6.397 6.397 Å, 60.00 60.00 60.00°
Element x y z (fractional)
1 Pm 0.000 0.000 0.000
2 Pm 0.000 0.000 0.500
3 Pm 0.000 0.500 0.000
4 Pm 0.500 0.000 0.000
5 Te 0.375 0.375 0.375
6 Te 0.625 0.625 0.625

## Properties
Total magnetic moment in μB/cell: 0.0
Raw total energy in eV/cell: -26.70


Record 5
A plane-wave DFT calculation with PBE was carried out for a relaxed PmTe3 crystal.

Cell: 4.369 26.502 4.372 Å, 90.00 90.00 90.00°
Element x y z (fractional)
1 Pm 0.000 0.170 0.250
2 Pm 0.000 0.830 0.750
3 Pm 0.500 0.330 0.750
4 Pm 0.500 0.670 0.250
5 Te 0.000 0.073 0.750
6 Te 0.000 0.294 0.250
7 Te 0.000 0.427 0.750
8 Te 0.000 0.573 0.250
9 Te 0.000 0.706 0.750
10 Te 0.000 0.927 0.250
11 Te 0.500 0.073 0.250
12 Te 0.500 0.206 0.750
13 Te 0.500 0.427 0.250
14 Te 0.500 0.573 0.750
15 Te 0.500 0.794 0.250
16 Te 0.500 0.927 0.750

## Properties
Total magnetic moment in μB/cell: 0.0
Raw total energy in eV/cell: -72.42


Record 6
A plane-wave DFT calculation with PBE was carried out for a relaxed PmThTe crystal.

Cell: 7.400 7.400 7.400 Å, 90.00 90.00 90.00°
Element x y z (fractional)
1 Pm 0.000 0.000 0.000
2 Pm 0.000 0.500 0.500
3 Pm 0.500 0.000 0.500
4 Pm 0.500 0.500 0.000
5 Th 0.000 0.000 0.500
6 Th 0.000 0.500 0.000
7 Th 0.500 0.000 0.000
8 Th 0.500 0.500 0.500
9 Te 0.250 0.250 0.250
10 Te 0.250 0.750 0.750
11 Te 0.750 0.250 0.750
12 Te 0.750 0.750 0.250

## Properties
Total magnetic moment in μB/cell: 0.3
Raw total energy in eV/cell: -65.87


Record 7
A plane-wave DFT calculation with PBE was carried out for a relaxed Pm2Th2Te7 crystal.

Cell: 9.690 9.690 9.690 Å, 153.41 68.24 118.46°
Element x y z (fractional)
1 Pm 0.000 0.000 0.000
2 Pm 0.546 0.046 0.500
3 Th 0.469 0.232 0.237
4 Th 0.995 0.232 0.763
5 Te 0.179 0.535 0.644
6 Te 0.253 0.934 0.318
7 Te 0.312 0.312 0.000
8 Te 0.610 0.721 0.888
9 Te 0.616 0.934 0.682
10 Te 0.833 0.721 0.112
11 Te 0.891 0.535 0.356

## Properties
Total magnetic moment in μB/cell: 0.0
Raw total energy in eV/cell: -60.61


Record 8
A plane-wave DFT calculation with PBE was carried out for a relaxed PmTlTe crystal.

Cell: 7.428 7.428 7.428 Å, 90.00 90.00 90.00°
Element x y z (fractional)
1 Pm 0.000 0.000 0.000
2 Pm 0.000 0.500 0.500
3 Pm 0.500 0.000 0.500
4 Pm 0.500 0.500 0.000
5 Tl 0.000 0.000 0.500
6 Tl 0.000 0.500 0.000
7 Tl 0.500 0.000 0.000
8 Tl 0.500 0.500 0.500
9 Te 0.250 0.250 0.250
10 Te 0.250 0.750 0.750
11 Te 0.750 0.250 0.750
12 Te 0.750 0.750 0.250

## Properties
Total magnetic moment in μB/cell: 0.0
Energy above the most stable polymorph in this dataset in eV/atom: 0.000
Raw total energy in eV/cell: -46.95


- Which of these has the highest raw total energy?
  number 3